(1)
DFT (PBE) results for a relaxed Sr3ZnBi3 crystal.

Geometry as extended XYZ:
```
28
Lattice="7.0075 0.0000 0.0000 -3.5037 10.4347 0.0000 0.0000 0.0000 13.9127" Properties=species:S:1:pos:R:3 pbc="T T T"
Sr 4.9697 0.0000 11.9626
Sr 5.5416 0.0000 5.0063
Sr 1.4659 0.0000 8.9065
Sr 2.0378 0.0000 1.9501
Sr -2.0118 6.8464 5.1736
Sr 2.0118 3.5883 12.1300
Sr 4.9957 3.5883 1.7828
Sr 2.0118 6.8464 8.7391
Sr 5.5155 3.5883 8.7391
Sr 1.4920 6.8464 1.7828
Sr -1.4920 6.8464 12.1300
Sr 1.4920 3.5883 5.1736
Zn 0.0000 8.6538 6.9564
Zn 0.0000 1.7809 0.0000
Zn 3.5037 1.7809 6.9564
Zn 3.5038 8.6538 0.0000
Bi 1.5616 0.0000 12.3417
Bi 1.9422 0.0000 5.3854
Bi 5.0653 0.0000 8.5274
Bi 5.4459 0.0000 1.5710
Bi 1.5491 7.0332 5.2493
Bi 5.4584 3.4015 12.2056
Bi 1.5491 3.4015 1.7071
Bi -1.5491 7.0332 8.6635
Bi 1.9546 3.4015 8.6635
Bi -1.9546 7.0332 1.7071
Bi 1.9546 7.0332 12.2056
Bi 5.0529 3.4015 5.2493
```

## Properties
The calculation puts the formation energy from the elements at -698 meV/atom. The total moment comes out at 0.0 μB/cell. The volume comes out at 1017.31 Å³ per cell.



(2)
DFT (PBE) results for a relaxed Cs2CdS2 crystal.

Geometry as extended XYZ:
```
10
Lattice="10.4337 0.0000 0.0000 0.0000 10.4337 0.0000 0.0000 0.0000 3.3237" Properties=species:S:1:pos:R:3 pbc="T T T"
Cs 3.8079 9.0247 0.0000
Cs 9.0247 6.6258 0.0000
Cs 6.6258 1.4090 0.0000
Cs 1.4090 3.8079 0.0000
S 1.6867 6.9035 1.6618
S 6.9035 8.7470 1.6618
S 8.7470 3.5302 1.6618
S 3.5302 1.6867 1.6618
Cd 0.0000 0.0000 0.0000
Cd 5.2169 5.2169 0.0000
```

## Properties
The total moment comes out at 0.0 μB/cell. The volume comes out at 361.82 Å³ per cell.



(3)
DFT (PBE) results for a relaxed PmTmCdCu crystal.

Geometry as extended XYZ:
```
4
Lattice="-2.9548 -1.4554 3.9640 -4.5719 -2.2142 -0.8704 -0.6715 -5.0089 1.0107" Properties=species:S:1:pos:R:3 pbc="T T T"
Cd -6.1486 -6.5089 3.0782
Tm -4.0991 -4.3393 2.0521
Cu -2.0495 -2.1696 1.0261
Pm 0.0000 0.0000 0.0000
```

## Properties
The calculation puts the formation energy from the elements at -212 meV/atom. The total moment comes out at 0.0 μB/cell. The volume comes out at 96.80 Å³ per cell.



(4)
DFT (PBE) results for a relaxed Ba8H2Pt crystal.

Geometry as extended XYZ:
```
11
Lattice="7.4120 -0.2636 0.6580 0.2029 7.9595 4.1807 -0.5054 0.0216 8.9787" Properties=species:S:1:pos:R:3 pbc="T T T"
Ba 5.7580 5.1959 4.5443
Ba 5.3730 0.8809 7.1525
Ba 1.3514 2.5216 9.2732
Ba 5.2245 5.0855 9.1848
Ba 1.7364 6.8366 6.6650
Ba 5.2820 1.0850 2.5748
Ba 1.8274 6.6325 11.2427
Ba 1.8850 2.6320 4.6327
H 2.6091 1.3016 2.5385
H 4.5003 6.4160 11.2790
Pt 0.0000 0.0000 0.0000
```

## Properties
The total moment comes out at 1.3 μB/cell. The volume comes out at 532.73 Å³ per cell.



(5)
DFT (PBE) results for a relaxed LaCd2Co crystal.

Geometry as extended XYZ:
```
4
Lattice="6.3618 0.0083 0.0106 3.7232 5.1585 -0.0106 -4.5368 -3.5705 2.6724" Properties=species:S:1:pos:R:3 pbc="T T T"
Cd 9.6083 4.9226 0.0000
Cd 5.5191 2.8276 0.0000
Co 3.4337 -0.4894 1.3415
La 2.1144 2.0857 1.3309
```

## Properties
The calculation puts the formation energy from the elements at -19 meV/atom. The total moment comes out at 0.6 μB/cell. The volume comes out at 87.49 Å³ per cell.



(6)
DFT (PBE) results for a relaxed Nd6Cd5Si7 crystal.

Geometry as extended XYZ:
```
18
Lattice="2.1139 -5.2860 -1.6670 2.9899 -2.2414 -4.6072 16.6368 0.8024 5.7875" Properties=species:S:1:pos:R:3 pbc="T T T"
Nd 17.6300 -2.5469 2.6152
Nd 8.1724 -5.1546 -2.9028
Nd 15.1207 -6.9882 -2.7314
Nd 13.5971 -1.0852 2.9273
Nd 4.4205 -5.0489 -3.9112
Nd 11.4159 -6.8764 -3.7195
Cd 4.0039 -2.5343 -1.4315
Cd 11.0473 -4.3430 -1.2059
Cd 17.8567 -6.3479 -1.2533
Cd 3.4304 -0.1603 0.8561
Cd 10.4894 -1.9484 1.1075
Si 18.4754 -4.7546 0.5810
Si 6.7854 -2.9990 -1.0839
Si 13.8974 -4.8123 -0.8427
Si 16.3376 -0.3567 4.4981
Si 5.7320 -7.2490 -5.7986
Si 7.7047 -1.5134 0.7283
Si 14.6523 -3.3337 0.9133
```

## Properties
The total moment comes out at 0.0 μB/cell. The volume comes out at 410.86 Å³ per cell.



(7)
DFT (PBE) results for a relaxed Er2TeAu crystal.

Geometry as extended XYZ:
```
8
Lattice="-0.4184 -4.2236 -1.3310 3.9463 -0.5490 0.5017 -3.8458 -3.0393 10.8536" Properties=species:S:1:pos:R:3 pbc="T T T"
Er 1.0332 -4.5503 2.9659
Er -1.3510 -3.2616 7.0584
Er 0.0143 -6.3534 9.0080
Er -0.3321 -1.4585 1.0163
Te -0.8363 -2.3508 4.0063
Te 0.5185 -5.4612 6.0180
Au -1.8140 -4.0810 9.8040
Au 1.4962 -3.7310 0.2203
```

## Properties
The total moment comes out at 0.0 μB/cell. The volume comes out at 209.68 Å³ per cell.



(8)
DFT (PBE) results for a relaxed CuRhW crystal.

Geometry as extended XYZ:
```
3
Lattice="-2.9053 3.0529 0.7095 0.5909 -3.0990 2.8830 1.8604 1.4875 1.2176" Properties=species:S:1:pos:R:3 pbc="T T T"
Cu 0.3138 0.2509 0.2054
Rh -0.2676 -0.8030 2.3593
W -0.5002 1.9935 2.2453
```

## Properties
The calculation puts the formation energy from the elements at 79 meV/atom. The total moment comes out at 0.0 μB/cell. The volume comes out at 42.31 Å³ per cell.



(9)
DFT (PBE) results for a relaxed Rb2SiAu3 crystal.

Geometry as extended XYZ:
```
12
Lattice="5.8049 0.0000 0.0000 0.0000 6.5128 0.0000 0.0000 0.0000 8.5838" Properties=species:S:1:pos:R:3 pbc="T T T"
Rb 1.4512 3.2564 1.2168
Rb 1.4512 0.0000 3.2573
Rb 4.3537 0.0000 5.3265
Rb 4.3537 3.2564 7.3670
Si 4.3537 3.2564 3.6840
Si 1.4512 3.2564 4.8998
Au 0.0000 0.0000 0.0000
Au 2.9025 0.0000 0.0000
Au 4.3537 1.4645 2.0373
Au 4.3537 5.0483 2.0373
Au 1.4512 1.4645 6.5465
Au 1.4512 5.0483 6.5465
```

## Properties
The total moment comes out at 0.0 μB/cell. The volume comes out at 324.52 Å³ per cell.



(10)
DFT (PBE) results for a relaxed CsBe3Cu crystal.

Geometry as extended XYZ:
```
5
Lattice="-2.3682 4.6396 -3.9299 -2.1577 -4.5843 -4.1118 -5.6845 -0.1928 3.1980" Properties=species:S:1:pos:R:3 pbc="T T T"
Cs 0.0000 0.0000 0.0000
Be -1.0789 -2.2921 -2.0559
Be -2.8423 -0.0964 1.5990
Be -1.1841 2.3198 -1.9650
Cu -5.1052 -0.0687 -2.4219
```

## Properties
The calculation puts the formation energy from the elements at 2604 meV/atom. The total moment comes out at 0.0 μB/cell. The volume comes out at 277.83 Å³ per cell.



(11)
DFT (PBE) results for a relaxed Rb2PrGeSe4 crystal.

Geometry as extended XYZ:
```
16
Lattice="-2.3174 7.1051 4.8581 -2.5394 -5.3924 6.6278 8.2762 -0.6323 -3.4269" Properties=species:S:1:pos:R:3 pbc="T T T"
Rb -1.1587 3.5525 2.4290
Rb 2.9794 3.2364 0.7156
Rb 4.1381 -0.3162 -1.7134
Rb 5.8478 0.2241 2.3160
Pr -1.2697 -2.6962 3.3139
Pr 2.8684 -3.0123 1.6005
Ge 1.7097 0.5403 4.0295
Ge 3.4193 1.0805 8.0588
Se 5.6981 -3.2185 2.5897
Se 1.8490 3.4026 3.8379
Se 1.5703 -2.3223 4.2211
Se -2.2788 4.2989 5.4692
Se 4.2254 0.8351 5.3355
Se 0.9091 1.0887 6.7100
Se 2.5103 -0.0082 1.3490
Se -0.8060 0.2453 2.7235
```

## Properties
The total moment comes out at 0.0 μB/cell. The volume comes out at 499.98 Å³ per cell.



(12)
DFT (PBE) results for a relaxed ZrAl4Cu crystal.

Geometry as extended XYZ:
```
12
Lattice="3.0523 0.0000 0.0000 0.0000 7.3693 0.0000 0.0000 0.0000 8.8113" Properties=species:S:1:pos:R:3 pbc="T T T"
Cu 0.0000 5.9898 2.2028
Cu 0.0000 1.3795 6.6085
Zr 0.0000 3.1250 2.2028
Zr 0.0000 4.2443 6.6085
Al 0.0000 0.0000 0.0000
Al 0.0000 0.0000 4.4056
Al 1.5262 0.6838 2.2028
Al 1.5262 6.6854 6.6085
Al 1.5262 2.3887 8.4792
Al 1.5262 2.3887 4.7377
Al 1.5262 4.9806 0.3321
Al 1.5262 4.9806 4.0735
```

## Properties
The calculation puts the formation energy from the elements at -187 meV/atom. The total moment comes out at 0.0 μB/cell. The volume comes out at 198.20 Å³ per cell.



(13)
DFT (PBE) results for a relaxed SiTe2HN crystal.

Geometry as extended XYZ:
```
5
Lattice="5.6460 0.0000 0.0000 0.0000 5.6460 0.0000 0.0000 0.0000 3.2369" Properties=species:S:1:pos:R:3 pbc="T T T"
H 2.8230 2.8230 1.6185
Si 0.0000 0.0000 0.0000
Te 0.0000 2.8230 0.0000
Te 2.8230 0.0000 0.0000
N 0.0000 0.0000 1.6185
```

## Properties
The total moment comes out at 0.6 μB/cell. The volume comes out at 103.18 Å³ per cell.



(14)
DFT (PBE) results for a relaxed K2NpZnS4 crystal.

Geometry as extended XYZ:
```
16
Lattice="-1.5190 8.0574 0.6262 0.0815 -1.2343 8.1296 6.7032 -2.2426 -4.2069" Properties=species:S:1:pos:R:3 pbc="T T T"
K -0.7595 4.0287 0.3131
K 2.5921 2.9074 -1.7904
K 3.3516 -1.1213 -2.1034
K -0.7187 3.4115 4.3779
Np 0.0408 -0.6172 4.0648
Np 1.8733 6.3189 2.5875
Zn 2.6329 2.2902 2.2744
Zn 5.1842 5.8147 -3.5807
S 6.0812 -1.3173 1.9119
S 2.5366 4.7740 0.5355
S 2.7292 -0.1936 4.0133
S -0.8155 5.8978 2.6370
S 5.5146 3.3757 2.5808
S 2.3140 3.9013 3.9144
S 2.9517 0.6791 0.6345
S -0.2489 1.2048 1.9681
```

## Properties
The total moment comes out at 6.0 μB/cell. The volume comes out at 411.33 Å³ per cell.



(15)
DFT (PBE) results for a relaxed ZrGa2Co crystal.

Geometry as extended XYZ:
```
8
Lattice="-3.7477 -0.2828 -0.2587 -0.2311 -0.3610 3.7428 -2.7732 9.2638 2.6182" Properties=species:S:1:pos:R:3 pbc="T T T"
Co -1.9894 -0.3219 1.7420
Co -2.4969 4.2905 4.0515
Ga -3.0029 2.0987 0.9649
Ga -1.3678 2.0503 2.9572
Ga -3.5757 6.7005 3.3317
Ga -5.5576 6.3905 4.9507
Zr 0.0000 0.0000 0.0000
Zr -4.2552 4.3296 2.0507
```

## Properties
The calculation puts the formation energy from the elements at -28 meV/atom. The total moment comes out at 0.0 μB/cell. The volume comes out at 137.06 Å³ per cell.



(16)
DFT (PBE) results for a relaxed ZnIn4Au5 crystal.

Geometry as extended XYZ:
```
10
Lattice="4.4894 0.0837 3.1531 3.2789 7.9915 -0.3065 2.1486 -2.0297 8.2328" Properties=species:S:1:pos:R:3 pbc="T T T"
Zn 7.7640 8.0749 2.8438
In 7.1369 2.5161 8.5642
In 4.8598 0.6130 7.0492
In 5.0479 5.4325 4.0239
In 2.7703 3.5286 2.5081
Au 4.7663 3.5344 7.0524
Au 2.1096 -0.2980 6.1086
Au 7.7986 6.3428 4.9647
Au 5.1408 2.5114 4.0198
Au 2.2401 0.0422 1.5737
```

## Properties
The calculation puts the formation energy from the elements at -155 meV/atom. The total moment comes out at 0.0 μB/cell. The volume comes out at 215.14 Å³ per cell.



(17)
DFT (PBE) results for a relaxed Y5Tl2Ir2 crystal.

Geometry as extended XYZ:
```
18
Lattice="-1.9341 7.0917 -1.7051 2.6578 -1.0003 -7.1754 -8.7200 -2.0871 1.2107" Properties=species:S:1:pos:R:3 pbc="T T T"
Y 0.0000 0.0000 0.0000
Y 0.3619 3.0457 -4.4402
Y -1.5476 4.6523 -6.7894
Y -1.1588 0.2384 -3.1942
Y -0.1598 0.9481 -7.0728
Y -2.5465 3.9426 -2.9109
Y -6.4487 -0.6480 -0.8803
Y -6.8375 3.7659 -4.4756
Y -7.8364 3.0562 -0.5970
Y -5.4497 0.0617 -4.7589
Tl -3.2481 -1.1370 -1.0446
Tl -2.8863 1.9087 -5.4849
Tl -2.8140 -1.9504 -4.9201
Tl -5.1100 2.0956 -2.1849
Ir 1.0815 3.6253 -7.3089
Ir -0.3578 2.4661 -1.5716
Ir 1.4212 0.3156 -4.7625
Ir -0.6975 5.7758 -4.1180
```

## Properties
The calculation puts the formation energy from the elements at -586 meV/atom. The total moment comes out at 0.0 μB/cell. The volume comes out at 476.54 Å³ per cell.



(18)
DFT (PBE) results for a relaxed CaHgSe2 crystal.

Geometry as extended XYZ:
```
4
Lattice="4.1528 0.0000 0.0000 0.0000 4.1528 0.0000 0.0000 0.0000 5.9571" Properties=species:S:1:pos:R:3 pbc="T T T"
Ca 0.0000 0.0000 2.2408
Hg 2.0764 2.0764 5.2012
Se 0.0000 0.0000 5.2188
Se 2.0764 2.0764 2.2319
```

## Properties
The total moment comes out at 0.0 μB/cell. The volume comes out at 102.73 Å³ per cell.



(19)
DFT (PBE) results for a relaxed Zr2TcRu crystal.

Geometry as extended XYZ:
```
4
Lattice="-2.1991 -1.6640 -3.7044 0.9093 -4.2723 -1.4994 -3.1515 -3.3396 0.4924" Properties=species:S:1:pos:R:3 pbc="T T T"
Ru -2.2207 -4.6379 -2.3557
Tc -3.3310 -6.9569 -3.5336
Zr 0.0000 0.0000 0.0000
Zr -1.1103 -2.3190 -1.1779
```

## Properties
The calculation puts the formation energy from the elements at -103 meV/atom. The total moment comes out at 0.0 μB/cell. The volume comes out at 69.65 Å³ per cell.



(20)
DFT (PBE) results for a relaxed IrC2 crystal.

Geometry as extended XYZ:
```
9
Lattice="1.4710 -2.5478 0.0000 1.4710 2.5478 0.0000 0.0000 0.0000 12.9392" Properties=species:S:1:pos:R:3 pbc="T T T"
Ir 0.0000 0.0000 6.4696
Ir 1.4710 0.8493 11.0112
Ir 1.4710 -0.8493 1.9280
C 0.0000 0.0000 12.2239
C 0.0000 0.0000 0.7153
C 1.4710 0.8493 9.0707
C 1.4710 -0.8493 3.8685
C 1.4710 0.8493 7.7764
C 1.4710 -0.8493 5.1627
```

## Properties
The calculation puts the formation energy from the elements at 999 meV/atom. The total moment comes out at 0.0 μB/cell. The volume comes out at 96.98 Å³ per cell.



(21)
DFT (PBE) results for a relaxed InTe crystal.

Geometry as extended XYZ:
```
16
Lattice="-7.1407 8.2641 -4.8987 2.2217 -4.5176 -10.8598 -3.3638 -2.6588 0.4179" Properties=species:S:1:pos:R:3 pbc="T T T"
In -6.3045 2.5311 -12.4380
In -1.9783 -1.4435 -2.9026
In -1.3916 -3.3887 -10.5571
In -6.8911 4.4763 -4.7835
In -5.3029 5.2293 -9.4143
In 0.3840 -1.4829 -6.3442
In -1.8376 0.3988 -12.2546
In -3.0813 3.3476 -3.5038
Te -5.8479 2.4257 -9.4331
Te -2.4349 -1.3381 -5.9075
Te -3.2360 -0.9981 -10.1930
Te -5.0468 2.0858 -5.1476
Te -3.4943 2.2647 -13.7184
Te -1.4246 1.4817 -2.0401
Te 1.1063 -2.7865 -8.8236
Te -6.0253 6.5329 -6.9349
```

## Properties
The total moment comes out at 0.0 μB/cell. The volume comes out at 617.26 Å³ per cell.



(22)
DFT (PBE) results for a relaxed Li4Sn3Pd2 crystal.

Geometry as extended XYZ:
```
9
Lattice="-2.0526 4.3040 -0.2853 -4.5942 0.5559 2.0254 0.0074 2.6423 7.6119" Properties=species:S:1:pos:R:3 pbc="T T T"
Li -2.3169 4.2153 8.2301
Li -4.4015 5.7683 5.9008
Li -2.2379 1.7339 3.4512
Li -4.3224 3.2869 1.1220
Sn -2.0308 4.2173 5.3629
Sn 0.0000 0.0000 0.0000
Sn -4.6085 3.2849 3.9892
Pd -2.2375 4.3581 2.5645
Pd -4.4019 3.1442 6.7876
```

## Properties
The calculation puts the formation energy from the elements at -468 meV/atom. The total moment comes out at 0.0 μB/cell. The volume comes out at 156.34 Å³ per cell.



| no. | total energy (Ha/atom) |
| --- | --- |
| 1 | -0.120 |
| 2 | -0.087 |
| 3 | -0.139 |
| 4 | -0.105 |
| 5 | -0.128 |
| 6 | -0.164 |
| 7 | -0.182 |
| 8 | -0.296 |
| 9 | -0.113 |
| 10 | -0.023 |
| 11 | -0.154 |
| 12 | -0.176 |
| 13 | -0.146 |
| 14 | -0.190 |
| 15 | -0.200 |
| 16 | -0.111 |
| 17 | -0.245 |
| 18 | -0.122 |
| 19 | -0.341 |
| 20 | -0.298 |
| 21 | -0.117 |
| 22 | -0.140 |